# 1
Y2SiCl | PBE | relaxed

Results
N(E_F) (states/eV/cell): 2.98

Lattice parameters (Å, degrees): 4.3627 6.0261 6.0261 36.17 90.00 90.00
Atoms (fractional coordinates):
Y1 0.0000 0.0000 0.0000
Y2 0.5000 0.2619 0.2619
Si1 0.5000 0.5310 0.5310
Cl1 0.0000 0.7697 0.7697

# 2
KFe2I8 | PBE | relaxed

Lattice parameters (Å, degrees): 9.1289 9.1289 7.3030 98.05 98.05 87.48
Atoms (fractional coordinates):
K1 0.0000 0.0000 0.0000
Fe1 0.2316 0.2316 0.6569
Fe2 0.7684 0.7684 0.3431
I1 0.0212 0.6893 0.2535
I2 0.2503 0.2503 0.3197
I3 0.3107 0.9788 0.7465
I4 0.4250 0.4250 0.8027
I5 0.5750 0.5750 0.1973
I6 0.6893 0.0212 0.2535
I7 0.7497 0.7497 0.6803
I8 0.9788 0.3107 0.7465

# 3
Cs2Na15Ca2 | PBE | relaxed

Results
Energy of formation from the pure elements (eV/atom): 0.035
N(E_F) (states/eV/cell): 7.31

Lattice parameters (Å, degrees): 9.5560 9.5560 9.5560 82.11 82.11 82.11
Atoms (fractional coordinates):
Cs1 0.1536 0.1536 0.1536
Cs2 0.8464 0.8464 0.8464
Na1 0.0000 0.5000 0.5000
Na2 0.1530 0.1530 0.6421
Na3 0.1530 0.6421 0.1530
Na4 0.2177 0.5000 0.7823
Na5 0.2177 0.7823 0.5000
Na6 0.3579 0.8470 0.8470
Na7 0.5000 0.0000 0.5000
Na8 0.5000 0.2177 0.7823
Na9 0.5000 0.5000 0.0000
Na10 0.5000 0.7823 0.2177
Na11 0.6421 0.1530 0.1530
Na12 0.7823 0.2177 0.5000
Na13 0.7823 0.5000 0.2177
Na14 0.8470 0.3579 0.8470
Na15 0.8470 0.8470 0.3579
Ca1 0.4013 0.4013 0.4013
Ca2 0.5987 0.5987 0.5987

# 4
Pm7ErIr4 | PBE | relaxed

Results
Energy of formation from the pure elements (eV/atom): -0.283
N(E_F) (states/eV/cell): 10.43

Lattice parameters (Å, degrees): 7.4763 7.4763 10.3920 123.46 123.46 42.72
Atoms (fractional coordinates):
Pm1 0.0000 0.0000 0.0000
Pm2 0.1650 0.1650 0.6212
Pm3 0.2917 0.2917 0.1270
Pm4 0.4077 0.4077 0.6234
Pm5 0.5923 0.5923 0.3766
Pm6 0.7083 0.7083 0.8730
Pm7 0.8350 0.8350 0.3788
Er1 0.5000 0.5000 0.0000
Ir1 0.0655 0.0655 0.7852
Ir2 0.2011 0.2011 0.3219
Ir3 0.7989 0.7989 0.6781
Ir4 0.9345 0.9345 0.2148

# 5
LaYS2Cl | PBE | relaxed

Results
N(E_F) (states/eV/cell): 3.66

Lattice parameters (Å, degrees): 5.5063 5.5063 5.3102 90.00 90.00 90.00
Atoms (fractional coordinates):
La1 0.0000 0.0000 0.0000
Y1 0.5000 0.5000 0.5000
S1 0.0000 0.5000 0.0000
S2 0.5000 0.0000 0.0000
Cl1 0.0000 0.0000 0.5000

# 6
AlHPd3 | PBE | relaxed

Results
N(E_F) (states/eV/cell): 5.78

Lattice parameters (Å, degrees): 6.9015 6.9015 5.7592 101.88 101.88 77.39
Atoms (fractional coordinates):
Al1 0.0011 0.9989 0.7500
Al2 0.3447 0.6553 0.2500
Al3 0.6553 0.3447 0.7500
Al4 0.9989 0.0011 0.2500
H1 0.1930 0.4792 0.6669
H2 0.4792 0.1930 0.1669
H3 0.5208 0.8070 0.8331
H4 0.8070 0.5208 0.3331
Pd1 0.0251 0.6836 0.4298
Pd2 0.0264 0.6854 0.9282
Pd3 0.3146 0.9736 0.5718
Pd4 0.3164 0.9749 0.0702
Pd5 0.3460 0.3484 0.9239
Pd6 0.3484 0.3460 0.4239
Pd7 0.6516 0.6540 0.5761
Pd8 0.6540 0.6516 0.0761
Pd9 0.6836 0.0251 0.9298
Pd10 0.6854 0.0264 0.4282
Pd11 0.9736 0.3146 0.0718
Pd12 0.9749 0.3164 0.5702

no.,raw total energy (eV per atom),V (A^3/atom),total moment (μB per formula unit)
1,-5.9913,23.37,0.00
2,-3.1361,54.23,8.94
3,-1.3069,44.73,0.00
4,-6.3883,26.46,0.00
5,-5.4328,32.20,0.96
6,-5.0279,12.91,0.00